(1)
Computed, not measured: a geometry-optimized TlCdIn2H structure at the GGA-PBE level of DFT.

Unit cell a=4.7669 b=4.7669 c=5.0202 alpha=90.00 beta=90.00 gamma=90.00
Fractional positions:
H: 0.0000 0.0000 0.0000
Tl: 0.0000 0.0000 0.5000
Cd: 0.5000 0.5000 0.5000
In: 0.0000 0.5000 0.0000
In: 0.5000 0.0000 0.0000

* N(E_F): 1.64 states/eV per cell
* energy: -2.206 eV/atom
* space-group type: P4/mmm

(2)
Computed, not measured: a geometry-optimized Cd2H4Ir structure at the GGA-PBE level of DFT.

Unit cell a=5.2034 b=4.8964 c=7.7141 alpha=90.00 beta=108.12 gamma=90.00
Fractional positions:
Cd: 0.2100 0.2500 0.0070
Cd: 0.7900 0.7500 0.9930
Cd: 0.9756 0.7500 0.3952
Cd: 0.0244 0.2500 0.6048
H: 0.5949 0.4493 0.2445
H: 0.6823 0.2500 0.9958
H: 0.3177 0.7500 0.0042
H: 0.5949 0.0507 0.2445
H: 0.8312 0.7500 0.7282
H: 0.4051 0.9493 0.7555
H: 0.4051 0.5507 0.7555
H: 0.1688 0.2500 0.2718
Ir: 0.8290 0.2500 0.2149
Ir: 0.1710 0.7500 0.7851

* N(E_F): 2.51 states/eV per cell
* excess energy over the best structure of this formula in the dataset: 0.000 eV per atom
* energy: -3.442 eV/atom
* space-group type: P2_1/m

(3)
Computed, not measured: a geometry-optimized Cd2H2Ir structure at the GGA-PBE level of DFT.

Unit cell a=3.0734 b=3.0734 c=7.1326 alpha=77.56 beta=77.56 gamma=90.00
Fractional positions:
H: 0.7500 0.2500 0.5000
H: 0.2500 0.7500 0.5000
Ir: 0.0000 0.0000 0.0000
Cd: 0.3628 0.3628 0.2745
Cd: 0.6372 0.6372 0.7255

* N(E_F): 3.82 states/eV per cell
* excess energy over the best structure of this formula in the dataset: 0.450 eV per atom
* energy: -2.979 eV/atom
* space-group type: I4/mmm

(4)
Computed, not measured: a geometry-optimized CdH2Ir structure at the GGA-PBE level of DFT.

Unit cell a=4.2696 b=4.2696 c=5.7219 alpha=68.09 beta=68.09 gamma=90.00
Fractional positions:
H: 0.7377 0.1250 0.2500
H: 0.0123 0.6250 0.2500
H: 0.3750 0.2623 0.7500
H: 0.8750 0.9877 0.7500
Ir: 0.0000 0.0000 0.0000
Ir: 0.7500 0.2500 0.5000
Cd: 0.5000 0.5000 0.0000
Cd: 0.2500 0.7500 0.5000

* N(E_F): 1.34 states/eV per cell
* excess energy over the best structure of this formula in the dataset: 0.200 eV per atom
* energy: -3.926 eV/atom
* space-group type: I-42d

(5)
Computed, not measured: a geometry-optimized Cd2H2Ir structure at the GGA-PBE level of DFT.

Unit cell a=3.0446 b=5.2871 c=9.7580 alpha=83.89 beta=81.02 gamma=73.27
Fractional positions:
Cd: 0.6727 0.2708 0.3838
Cd: 0.8640 0.3791 0.8929
Cd: 0.3273 0.7292 0.6162
Cd: 0.1360 0.6209 0.1071
H: 0.0384 0.3061 0.6172
H: 0.6302 0.9355 0.8041
H: 0.9616 0.6939 0.3828
H: 0.3698 0.0645 0.1959
Ir: 0.5718 0.1747 0.6818
Ir: 0.4282 0.8253 0.3182

* N(E_F): 2.40 states/eV per cell
* excess energy over the best structure of this formula in the dataset: 0.000 eV per atom
* energy: -3.429 eV/atom
* space-group type: C2/m

(6)
Computed, not measured: a geometry-optimized CdH2Ir structure at the GGA-PBE level of DFT.

Unit cell a=3.9010 b=3.9010 c=3.9010 alpha=60.00 beta=60.00 gamma=60.00
Fractional positions:
H: 0.2500 0.2500 0.2500
H: 0.7500 0.7500 0.7500
Ir: 0.5000 0.5000 0.5000
Cd: 0.0000 0.0000 0.0000

* N(E_F): 1.08 states/eV per cell
* excess energy over the best structure of this formula in the dataset: 0.803 eV per atom
* energy: -3.323 eV/atom
* space-group type: Fm-3m

(7)
Computed, not measured: a geometry-optimized CdH2Ir structure at the GGA-PBE level of DFT.

Unit cell a=3.0635 b=3.0635 c=5.4724 alpha=73.75 beta=73.75 gamma=60.00
Fractional positions:
H: 0.2933 0.2933 0.1202
H: 0.7067 0.7067 0.8798
Ir: 0.0000 0.0000 0.0000
Cd: 0.5000 0.5000 0.5000

* N(E_F): 1.21 states/eV per cell
* excess energy over the best structure of this formula in the dataset: 0.238 eV per atom
* energy: -3.888 eV/atom
* space-group type: R-3m

(8)
Computed, not measured: a geometry-optimized CdH6Ir2 structure at the GGA-PBE level of DFT.

Unit cell a=5.1676 b=6.5799 c=6.5799 alpha=75.05 beta=83.12 gamma=83.12
Fractional positions:
Cd: 0.2500 0.1056 0.8944
Cd: 0.7500 0.8944 0.1056
H: 0.8471 0.6138 0.8134
H: 0.6529 0.1866 0.3862
H: 0.1529 0.3862 0.1866
H: 0.3471 0.8134 0.6138
H: 0.9351 0.8832 0.4471
H: 0.5649 0.5529 0.1168
H: 0.0649 0.1168 0.5529
H: 0.4351 0.4471 0.8832
H: 0.1863 0.7029 0.9313
H: 0.3137 0.0687 0.2971
H: 0.8137 0.2971 0.0687
H: 0.6863 0.9313 0.7029
Ir: 0.5269 0.7062 0.8554
Ir: 0.9731 0.1446 0.2938
Ir: 0.4731 0.2938 0.1446
Ir: 0.0269 0.8554 0.7062

* N(E_F): 3.63 states/eV per cell
* energy: -4.170 eV/atom
* space-group type: C2/c

(9)
Computed, not measured: a geometry-optimized CdH2Ir structure at the GGA-PBE level of DFT.

Unit cell a=3.0569 b=3.0569 c=5.3128 alpha=107.07 beta=107.07 gamma=90.15
Fractional positions:
Cd: 0.3191 0.8191 0.6317
H: 0.5310 0.5311 0.0658
H: 0.0311 0.0310 0.0658
Ir: 0.6188 0.1188 0.2368

* N(E_F): 0.56 states/eV per cell
* excess energy over the best structure of this formula in the dataset: 0.000 eV per atom
* energy: -4.126 eV/atom
* space-group type: Cm

(10)
Computed, not measured: a geometry-optimized Cd2H6Ir structure at the GGA-PBE level of DFT.

Unit cell a=4.9144 b=5.4073 c=10.4707 alpha=90.00 beta=135.10 gamma=90.00
Fractional positions:
Cd: 0.8936 0.5743 0.6213
Cd: 0.6064 0.0743 0.8787
Cd: 0.3936 0.9257 0.1213
Cd: 0.1064 0.4257 0.3787
H: 0.5663 0.8601 0.3720
H: 0.9898 0.9930 0.6571
H: 0.7510 0.7599 0.0424
H: 0.7490 0.2599 0.4576
H: 0.5102 0.4930 0.8429
H: 0.9337 0.3601 0.1280
H: 0.4337 0.1399 0.6280
H: 0.0102 0.0070 0.3429
H: 0.2490 0.2401 0.9576
H: 0.2510 0.7401 0.5424
H: 0.4898 0.5070 0.1571
H: 0.0663 0.6399 0.8720
Ir: 0.5000 0.5000 0.0000
Ir: 0.0000 0.0000 0.5000

* N(E_F): 1.86 states/eV per cell
* energy: -3.392 eV/atom
* space-group type: P2_1/c

(11)
Computed, not measured: a geometry-optimized Cd2H4Ir structure at the GGA-PBE level of DFT.

Unit cell a=3.4255 b=3.4255 c=7.2792 alpha=76.39 beta=76.39 gamma=90.00
Fractional positions:
H: 0.1220 0.1220 0.7559
H: 0.8780 0.8780 0.2441
H: 0.0000 0.5000 0.0000
H: 0.5000 0.0000 0.0000
Ir: 0.0000 0.0000 0.0000
Cd: 0.3363 0.3363 0.3275
Cd: 0.6637 0.6637 0.6725

* N(E_F): 1.02 states/eV per cell
* excess energy over the best structure of this formula in the dataset: 0.190 eV per atom
* energy: -3.252 eV/atom
* space-group type: I4/mmm

(12)
Computed, not measured: a geometry-optimized Cd2H2Ir structure at the GGA-PBE level of DFT.

Unit cell a=5.5059 b=5.5059 c=4.3184 alpha=90.00 beta=90.00 gamma=90.00
Fractional positions:
H: 0.2566 0.7566 0.0000
H: 0.7566 0.7434 0.0000
H: 0.7434 0.2434 0.0000
H: 0.2434 0.2566 0.0000
Ir: 0.0000 0.0000 0.0000
Ir: 0.5000 0.5000 0.0000
Cd: 0.1925 0.6925 0.5000
Cd: 0.6925 0.8075 0.5000
Cd: 0.8075 0.3075 0.5000
Cd: 0.3075 0.1925 0.5000

* N(E_F): 4.29 states/eV per cell
* excess energy over the best structure of this formula in the dataset: 0.177 eV per atom
* energy: -3.252 eV/atom
* space-group type: P4/mbm

(13)
Computed, not measured: a geometry-optimized Cd3H3Ir structure at the GGA-PBE level of DFT.

Unit cell a=4.8575 b=6.7127 c=5.8204 alpha=90.03 beta=90.00 gamma=90.00
Fractional positions:
Cd: 0.2500 0.5017 0.7510
Cd: 0.2500 0.1245 0.4989
Cd: 0.2500 0.1254 0.0041
Cd: 0.7500 0.4983 0.2490
Cd: 0.7500 0.8755 0.5011
Cd: 0.7500 0.8746 0.9959
H: 0.7500 0.5015 0.7512
H: 0.7500 0.2516 0.4594
H: 0.7500 0.2492 0.0417
H: 0.2500 0.4985 0.2488
H: 0.2500 0.7484 0.5406
H: 0.2500 0.7508 0.9583
Ir: 0.7500 0.2548 0.7506
Ir: 0.2500 0.7452 0.2494

* N(E_F): 2.60 states/eV per cell
* energy: -3.064 eV/atom
* space-group type: P2_1/m

(14)
Computed, not measured: a geometry-optimized Cd2H7Ir2 structure at the GGA-PBE level of DFT.

Unit cell a=5.3601 b=7.9355 c=5.3675 alpha=90.00 beta=90.00 gamma=97.93
Fractional positions:
Cd: 0.6060 0.8743 0.3545
Cd: 0.3940 0.6257 0.8545
Cd: 0.3940 0.1257 0.6455
Cd: 0.6060 0.3743 0.1455
H: 0.0000 0.0000 0.5000
H: 0.0000 0.5000 0.0000
H: 0.2231 0.1173 0.0241
H: 0.7769 0.3827 0.5241
H: 0.7769 0.8827 0.9759
H: 0.2231 0.6173 0.4759
H: 0.1330 0.3442 0.6762
H: 0.1330 0.8442 0.8238
H: 0.8670 0.1558 0.1762
H: 0.8670 0.6558 0.3238
H: 0.8363 0.1709 0.8052
H: 0.8363 0.6709 0.6948
H: 0.1637 0.3291 0.3052
H: 0.1637 0.8291 0.1948
Ir: 0.8902 0.7048 0.0062
Ir: 0.1098 0.2952 0.9938
Ir: 0.8902 0.2048 0.4938
Ir: 0.1098 0.7952 0.5062

* N(E_F): 1.89 states/eV per cell
* energy: -3.898 eV/atom
* space-group type: P2_1/c

(15)
Computed, not measured: a geometry-optimized K2Cd2H4Ir structure at the GGA-PBE level of DFT.

Unit cell a=6.1426 b=6.1426 c=6.1426 alpha=99.90 beta=114.46 gamma=114.46
Fractional positions:
K: 0.5000 0.7500 0.2500
K: 0.5000 0.2500 0.7500
Cd: 0.0000 0.6725 0.6725
Cd: 0.0000 0.3275 0.3275
H: 0.0000 0.8193 0.1807
H: 0.6385 0.8193 0.8193
H: 0.0000 0.1807 0.8193
H: 0.3615 0.1807 0.1807
Ir: 0.0000 0.0000 0.0000

* N(E_F): 1.36 states/eV per cell
* energy: -3.058 eV/atom
* space-group type: I4/mmm

(16)
Computed, not measured: a geometry-optimized KCdH6Ir structure at the GGA-PBE level of DFT.

Unit cell a=4.9105 b=4.9106 c=5.7485 alpha=90.00 beta=90.00 gamma=59.99
Fractional positions:
K: 0.9999 0.0000 0.0000
Cd: 0.6666 0.6666 0.5000
H: 0.0842 0.3047 0.3172
H: 0.3047 0.0843 0.6828
H: 0.6109 0.3049 0.6828
H: 0.0841 0.6112 0.6827
H: 0.3049 0.6109 0.3172
H: 0.6111 0.0841 0.3173
Ir: 0.3333 0.3333 0.5000

* N(E_F): 0.00 states/eV per cell
* energy: -3.663 eV/atom
* space-group type: P312

(17)
Computed, not measured: a geometry-optimized LaCdH6Ir2 structure at the GGA-PBE level of DFT.

Unit cell a=4.7649 b=4.7649 c=6.0291 alpha=66.72 beta=66.72 gamma=60.00
Fractional positions:
La: 0.0000 0.0000 0.0000
Cd: 0.5000 0.5000 0.5000
H: 0.0282 0.5710 0.8298
H: 0.5710 0.0282 0.8298
H: 0.4290 0.4290 0.1702
H: 0.9718 0.4290 0.1702
H: 0.4290 0.9718 0.1702
H: 0.5710 0.5710 0.8298
Ir: 0.7890 0.7890 0.6331
Ir: 0.2110 0.2110 0.3669

* N(E_F): 2.14 states/eV per cell
* energy: -4.666 eV/atom
* space-group type: R-3m

(18)
Computed, not measured: a geometry-optimized LaCdH6Ir structure at the GGA-PBE level of DFT.

Unit cell a=4.8629 b=4.8629 c=4.5790 alpha=90.00 beta=90.00 gamma=60.00
Fractional positions:
La: 0.0000 0.0000 0.0000
Cd: 0.6667 0.6667 0.5000
H: 0.0504 0.4738 0.2235
H: 0.4738 0.0504 0.7765
H: 0.4757 0.4738 0.7765
H: 0.0504 0.4757 0.7765
H: 0.4738 0.4758 0.2235
H: 0.4757 0.0504 0.2235
Ir: 0.3333 0.3333 0.5000

* N(E_F): 1.61 states/eV per cell
* energy: -4.083 eV/atom
* space-group type: P-6m2

(19)
Computed, not measured: a geometry-optimized Li2CdHIr structure at the GGA-PBE level of DFT.

Unit cell a=4.0801 b=4.0801 c=3.7005 alpha=90.00 beta=90.00 gamma=90.00
Fractional positions:
H: 0.0000 0.0000 0.0000
Ir: 0.0000 0.0000 0.5000
Li: 0.0000 0.5000 0.0000
Li: 0.5000 0.0000 0.0000
Cd: 0.5000 0.5000 0.5000

* N(E_F): 0.91 states/eV per cell
* energy: -3.607 eV/atom
* space-group type: P4/mmm

(20)
Computed, not measured: a geometry-optimized LiCdH6Ir structure at the GGA-PBE level of DFT.

Unit cell a=4.6570 b=4.6574 c=4.3308 alpha=90.06 beta=90.00 gamma=59.99
Fractional positions:
Li: 0.6666 0.6667 0.5000
Cd: 0.0000 0.0000 0.9999
H: 0.0385 0.3507 0.2638
H: 0.3506 0.0387 0.7360
H: 0.6109 0.3508 0.7361
H: 0.0382 0.6108 0.7363
H: 0.3506 0.6108 0.2640
H: 0.6109 0.0382 0.2638
Ir: 0.3334 0.3333 0.5000

* energy: -3.629 eV/atom
* space-group type: P312